Entry 1:
Compound: YMnW2
Source: the Alexandria database
Functional: GGA-PBE
Structure: optimized geometry

```
YMnW2
1.0
-0.326 -2.917 -4.663
-0.630 -2.470 4.885
-2.722 0.479 -0.109
Mn W Y
1 2 1
direct
0.000 0.500 0.500
0.000 0.000 0.000
0.500 0.500 0.000
0.500 0.000 0.500
```

Calculated values
Formation energy from the elements = 69.2 kJ per mole of atoms
ΔE to the lowest computed polymorph = 0.381 eV/atom
DOS(E_F) = 4.5 states/eV/f.u.
E_tot = -38.67 eV/cell
Total magnetic moment = 3.1 μB/cell

***

Entry 2:
Compound: SiTc2Te
Source: the Alexandria database
Functional: GGA-PBE
Structure: optimized geometry

```
SiTc2Te
1.0
-2.174 -1.482 -3.697
2.359 -1.609 -3.527
-0.089 -4.435 -0.955
Si Tc Te
1 2 1
direct
0.500 0.500 0.500
0.000 0.000 0.000
0.750 0.750 0.750
0.250 0.250 0.250
```

Calculated values
ΔE to the lowest computed polymorph = 0.629 eV/atom
DOS(E_F) = 4.6 states/eV/f.u.
E_tot = -26.80 eV/cell
Total magnetic moment = 1.0 μB/cell
E_form (uncorrected) = 0.62 eV per atom

***

Entry 3:
Compound: USbRu2
Source: the Alexandria database
Functional: GGA-PBE
Structure: optimized geometry

```
USbRu2
1.0
-2.404 -2.372 -1.681
-0.673 -2.047 3.849
-3.332 2.753 0.881
Sb U Ru
1 1 2
direct
0.500 0.000 0.000
0.500 0.500 0.500
0.000 0.000 0.500
0.000 0.500 0.000
```

Calculated values
DOS(E_F) = 6.9 states/eV/f.u.
E_tot = -34.58 eV/cell
Total magnetic moment = 1.4 μB/cell
E_form (uncorrected) = -0.15 eV per atom

***

Entry 4:
Compound: Zr4NbCd3
Source: the Alexandria database
Functional: GGA-PBE
Structure: optimized geometry

```
Zr4NbCd3
1.0
-0.386 -0.283 -3.466
-2.028 -2.814 0.455
-11.411 8.320 0.591
Nb Zr Cd
1 4 3
direct
0.500 0.500 0.000
0.000 0.000 0.886
0.000 0.000 0.114
0.000 0.000 0.372
0.000 0.000 0.628
0.500 0.500 0.245
0.500 0.500 0.500
0.500 0.500 0.755
```

Calculated values
Formation energy from the elements = -5.7 kJ per mole of atoms
DOS(E_F) = 7.6 states/eV/f.u.
E_tot = -47.48 eV/cell
Total magnetic moment = 0.0 μB/cell

***

Entry 5:
Compound: NaNiAgHg2
Source: the Alexandria database
Functional: GGA-PBE
Structure: optimized geometry

```
NaNiAgHg2
1.0
-2.791 0.154 -4.483
0.857 -4.658 -0.693
-4.385 -1.208 2.689
Ni Hg Ag Na
1 2 1 1
direct
0.000 0.500 0.000
0.000 0.000 0.500
0.500 0.000 0.000
0.500 0.500 0.500
0.000 0.000 0.000
```

Calculated values
Formation energy from the elements = 89.9 kJ per mole of atoms
DOS(E_F) = 3.7 states/eV/f.u.
E_tot = -5.90 eV/cell
Total magnetic moment = 0.5 μB/cell

***

Entry 6:
Compound: Lu2CuAg
Source: the Alexandria database
Functional: GGA-PBE
Structure: optimized geometry

```
Lu2CuAg
1.0
-1.527 2.725 -1.115
-3.104 -0.192 -1.152
-5.067 2.631 8.438
Lu Cu Ag
2 1 1
direct
0.097 0.097 0.709
0.903 0.903 0.291
0.500 0.500 0.500
0.000 0.000 0.000
```

Calculated values
Formation energy from the elements = 23.7 kJ per mole of atoms
ΔE to the lowest computed polymorph = 0.563 eV/atom
DOS(E_F) = 4.3 states/eV/f.u.
E_tot = -15.01 eV/cell
Total magnetic moment = 0.0 μB/cell

***

Entry 7:
Compound: MoWSe2
Source: the Alexandria database
Functional: GGA-PBE
Structure: optimized geometry

```
MoWSe2
1.0
4.365 0.005 0.000
3.279 2.881 0.000
1.101 0.416 5.210
Mo Se W
1 2 1
direct
0.250 0.250 0.250
0.000 0.000 0.000
0.500 0.500 0.500
0.750 0.750 0.750
```

Calculated values
ΔE to the lowest computed polymorph = 0.454 eV/atom
DOS(E_F) = 3.2 states/eV/f.u.
E_tot = -29.56 eV/cell
Total magnetic moment = 0.0 μB/cell
E_form (uncorrected) = 0.30 eV per atom

***

Entry 8:
Compound: Zr2Be2AlFe5
Source: the Alexandria database
Functional: GGA-PBE
Structure: optimized geometry

```
Zr2Be2AlFe5
1.0
3.357 0.000 0.000
0.000 8.720 0.000
0.000 0.000 8.720
Zr Be Al Fe
4 4 2 10
direct
0.000 0.680 0.180
0.000 0.320 0.820
0.000 0.180 0.320
0.000 0.820 0.680
0.000 0.115 0.615
0.000 0.885 0.385
0.000 0.615 0.885
0.000 0.385 0.115
0.000 0.000 0.000
0.000 0.500 0.500
0.500 0.218 0.065
0.500 0.782 0.935
0.500 0.065 0.782
0.500 0.718 0.435
0.500 0.935 0.218
0.500 0.282 0.565
0.500 0.565 0.718
0.500 0.435 0.282
0.500 0.500 0.000
0.500 0.000 0.500
```

Calculated values
Formation energy from the elements = -22.9 kJ per mole of atoms
DOS(E_F) = 6.9 states/eV/f.u.
E_tot = -145.95 eV/cell
Total magnetic moment = 13.2 μB/cell

***

Q: Look up the DOS(E_F) of the sixth one.
A: 4.3 states/eV/f.u.

***

Q: DOS(E_F) of number 5 (NaNiAgHg2)?
A: 3.7 states/eV/f.u.

***

Q: Look up the DOS(E_F) of the third one.
A: 6.9 states/eV/f.u.

***

Q: What is the formula in the sixth record?
A: Lu2CuAg